Material: Er4ThGa4
Method: DFT, GGA-PBE
State: optimized geometry

Structure (POSCAR):
```
Er4ThGa4
1.0
9.167 0.000 0.000
0.000 9.167 0.000
0.000 0.000 5.852
Er Th Ga
8 2 8
Cartesian
0.713 6.000 0.764
1.417 8.454 3.690
3.167 5.296 3.690
3.870 7.750 0.764
5.296 1.417 5.088
6.000 3.870 2.162
7.750 0.713 2.162
8.454 3.167 5.088
2.292 2.292 1.463
6.875 6.875 4.389
0.278 5.615 3.656
1.031 8.888 0.730
3.552 4.862 0.730
4.305 8.135 3.656
4.862 1.031 2.195
5.615 4.305 5.121
8.135 0.278 5.121
8.888 3.552 2.195
```

Values from the calculation:
Energy relative to the elements, eV/atom: -0.278
Space group: P4_2/n

=====

Material: Er2ThGa
Method: DFT, GGA-PBE
State: optimized geometry

Structure (POSCAR):
```
Er2ThGa
1.0
3.503 0.000 0.000
0.000 3.503 0.000
0.000 0.000 8.711
Er Th Ga
2 1 1
Cartesian
0.000 0.000 1.856
0.000 0.000 6.855
1.751 1.751 4.355
1.751 1.751 0.000
```

Values from the calculation:
Energy relative to the elements, eV/atom: -0.284
Distance to the lowest polymorph of the same formula, eV/atom: 0.000
Space group: P4/mmm

=====

Material: ErThGa2
Method: DFT, GGA-PBE
State: optimized geometry

Structure (POSCAR):
```
ErThGa2
1.0
4.387 0.000 0.000
0.000 4.089 0.000
-2.185 0.000 5.507
Er Th Ga
1 1 2
Cartesian
0.000 0.000 0.000
0.002 2.045 3.100
2.197 2.045 0.679
2.195 0.000 2.330
```

Values from the calculation:
Energy relative to the elements, eV/atom: -0.566
Distance to the lowest polymorph of the same formula, eV/atom: 0.000
Space group: Pm

=====

Material: ErTh2Ga
Method: DFT, GGA-PBE
State: optimized geometry

Structure (POSCAR):
```
ErTh2Ga
1.0
4.748 0.000 0.000
0.000 4.748 0.000
0.000 0.000 4.871
Er Th Ga
1 2 1
Cartesian
0.000 0.000 0.000
0.000 2.374 2.436
2.374 0.000 2.436
2.374 2.374 0.000
```

Values from the calculation:
Energy relative to the elements, eV/atom: -0.179
Distance to the lowest polymorph of the same formula, eV/atom: 0.000
Space group: P4/mmm

=====

Material: Er4ThGa15
Method: DFT, GGA-PBE
State: optimized geometry

Structure (POSCAR):
```
Er4ThGa15
1.0
4.271 0.000 0.000
0.000 4.271 0.000
0.000 0.000 21.587
Er Th Ga
4 1 15
Cartesian
0.000 0.000 2.119
0.000 0.000 6.364
0.000 0.000 15.223
0.000 0.000 19.468
0.000 0.000 10.793
0.000 2.136 0.000
0.000 2.136 4.247
0.000 2.136 8.500
0.000 2.136 13.087
0.000 2.136 17.340
2.136 0.000 0.000
2.136 0.000 4.247
2.136 0.000 8.500
2.136 0.000 13.087
2.136 0.000 17.340
2.136 2.136 2.133
2.136 2.136 6.417
2.136 2.136 10.793
2.136 2.136 15.170
2.136 2.136 19.454
```

Values from the calculation:
Energy relative to the elements, eV/atom: -0.517
Space group: P4/mmm

=====

Material: ErThGa2
Method: DFT, GGA-PBE
State: optimized geometry

Structure (POSCAR):
```
ErThGa2
1.0
3.444 0.000 0.000
0.000 3.444 0.000
0.000 0.000 7.955
Er Th Ga
1 1 2
Cartesian
0.000 0.000 0.000
0.000 0.000 3.977
1.722 1.722 1.882
1.722 1.722 6.073
```

Values from the calculation:
Energy relative to the elements, eV/atom: -0.495
Distance to the lowest polymorph of the same formula, eV/atom: 0.071
Space group: P4/mmm